Record 1
TcSb2Pd | PBE | relaxed

## Properties
* E_form (uncorrected): 0.3418 eV per atom
* total magnetization: 0.000 Bohr magnetons per cell
* crystal system: tetragonal
* space group: No. 122

Cell: 6.0070 6.0070 11.9623 Å, 90.00 90.00 90.00°
With the nearest neighbours (Å) after each atom.
Sites, in units of the cell vectors:
Tc: 0.0000 0.0000 0.0000  4 Sb 2.57
Tc: 0.0000 0.5000 0.2500  4 Sb 2.57
Tc: 0.5000 0.0000 0.7500  4 Sb 2.57
Tc: 0.5000 0.5000 0.5000  4 Sb 2.57
Sb: 0.2415 0.2500 0.1250  2 Tc 2.57, 2 Pd 2.63
Sb: 0.2500 0.7415 0.3750  2 Tc 2.57, 2 Pd 2.63
Sb: 0.2500 0.7585 0.8750  2 Tc 2.57, 2 Pd 2.63
Sb: 0.2585 0.2500 0.6250  2 Tc 2.57, 2 Pd 2.63
Sb: 0.7415 0.7500 0.6250  2 Tc 2.57, 2 Pd 2.63
Sb: 0.7500 0.2415 0.8750  2 Tc 2.57, 2 Pd 2.63
Sb: 0.7500 0.2585 0.3750  2 Tc 2.57, 2 Pd 2.63
Sb: 0.7585 0.7500 0.1250  2 Tc 2.57, 2 Pd 2.63
Pd: 0.0000 0.0000 0.5000  4 Sb 2.63
Pd: 0.0000 0.5000 0.7500  4 Sb 2.63
Pd: 0.5000 0.0000 0.2500  4 Sb 2.63
Pd: 0.5000 0.5000 0.0000  4 Sb 2.63

Record 2
ZnHgBr2 | PBE | relaxed

## Properties
* E_form (uncorrected): 0.1705 eV per atom
* total magnetization: 0.000 Bohr magnetons per cell
* crystal system: cubic
* space group: No. 216

Cell: 7.4150 7.4150 7.4150 Å, 90.00 90.00 90.00°
With the nearest neighbours (Å) after each atom.
Sites, in units of the cell vectors:
Zn: 0.0000 0.0000 0.0000  4 Hg 3.21, 4 Br 3.21
Zn: 0.0000 0.5000 0.5000  4 Hg 3.21, 4 Br 3.21
Zn: 0.5000 0.0000 0.5000  4 Hg 3.21, 4 Br 3.21
Zn: 0.5000 0.5000 0.0000  4 Hg 3.21, 4 Br 3.21
Hg: 0.2500 0.2500 0.2500  4 Br 3.21, 4 Zn 3.21
Hg: 0.2500 0.7500 0.7500  4 Br 3.21, 4 Zn 3.21
Hg: 0.7500 0.2500 0.7500  4 Br 3.21, 4 Zn 3.21
Hg: 0.7500 0.7500 0.2500  4 Br 3.21, 4 Zn 3.21
Br: 0.0000 0.0000 0.5000  4 Br 3.21, 4 Hg 3.21
Br: 0.0000 0.5000 0.0000  4 Hg 3.21, 4 Br 3.21
Br: 0.2500 0.2500 0.7500  4 Br 3.21, 4 Zn 3.21
Br: 0.2500 0.7500 0.2500  4 Br 3.21, 4 Zn 3.21
Br: 0.5000 0.0000 0.0000  4 Hg 3.21, 4 Br 3.21
Br: 0.5000 0.5000 0.5000  4 Hg 3.21, 4 Br 3.21
Br: 0.7500 0.2500 0.2500  4 Br 3.21, 4 Zn 3.21
Br: 0.7500 0.7500 0.7500  4 Br 3.21, 4 Zn 3.21

Record 3
Al3AgSb | PBE | relaxed

## Properties
* E_form (uncorrected): 0.4270 eV per atom
* total magnetization: 0.000 Bohr magnetons per cell
* crystal system: cubic
* space group: No. 221

Cell: 4.9070 4.9070 4.9070 Å, 90.00 90.00 90.00°
With the nearest neighbours (Å) after each atom.
Sites, in units of the cell vectors:
Al: 0.0000 0.0000 0.5000  2 Ag 2.45
Al: 0.0000 0.5000 0.0000  2 Ag 2.45
Al: 0.5000 0.0000 0.0000  2 Ag 2.45
Ag: 0.0000 0.0000 0.0000  6 Al 2.45
Sb: 0.5000 0.5000 0.5000  12 Al 3.47